1.
TlSeICl2 (PBE-GGA, optimized geometry); magnetization = 0.0 μB/f.u.; DOS(E_F) = 0.58 states/eV per atom; formation energy (no corrections) = -1.6 eV/f.u.
1.0
5.414 0.000 0.000
0.000 5.414 0.000
0.000 0.000 5.535
Tl Se I Cl
1 1 1 2
Cartesian
0.000 0.000 0.000 Tl
2.707 2.707 2.767 Se
2.707 2.707 0.000 I
0.000 2.707 2.767 Cl
2.707 0.000 2.767 Cl

2.
Dy6YEr2 (PBE-GGA, optimized geometry); magnetization = 0.0 μB/f.u.; DOS(E_F) = 1.81 states/eV per atom; formation energy = 0.121 eV per atom; polymorph energy (0 for the lowest one) = 0 meV/atom
1.0
4.542 -8.791 0.000
4.542 8.791 0.000
-0.586 0.000 3.552
Dy Y Er
6 1 2
Cartesian
1.037 2.937 2.951 Dy
1.311 0.000 1.172 Dy
1.037 -2.937 2.951 Dy
7.462 2.937 0.601 Dy
7.188 0.000 2.380 Dy
7.462 -2.937 0.601 Dy
4.542 0.000 0.000 Y
4.249 2.946 1.776 Er
4.249 -2.946 1.776 Er

| no. | DFT total energy (eV/atom) |
| --- | --- |
| 1 | -2.5309 |
| 2 | -4.6789 |